TePt4Br | the Alexandria database | GGA-PBE | relaxed; crystal system = cubic; theoretical density = 14.4 Mg/m³; uncorrected formation energy = 0.4046 eV per atom
1.0
0.000 3.845 3.845
3.845 0.000 3.845
3.845 3.845 0.000
Te Pt Br
1 4 1
Cartesian
0.000 0.000 0.000 Te
2.880 2.880 2.880 Pt
4.810 4.810 2.880 Pt
4.810 2.880 4.810 Pt
2.880 4.810 4.810 Pt
5.768 5.768 5.768 Br

---

Te2PtBr | the Alexandria database | GGA-PBE | relaxed; crystal system = tetragonal; theoretical density = 9.6 Mg/m³; uncorrected formation energy = 0.4008 eV per atom
1.0
5.371 0.000 0.000
0.000 5.371 0.000
0.000 0.000 3.186
Te Pt Br
2 1 1
Cartesian
0.000 2.686 0.000 Te
2.686 0.000 0.000 Te
0.000 0.000 1.593 Pt
2.686 2.686 1.593 Br

---

Te2PtBr | the Alexandria database | GGA-PBE | relaxed; crystal system = monoclinic; theoretical density = 7.6 Mg/m³; uncorrected formation energy = -0.3845 eV per atom
1.0
6.971 -2.033 0.000
6.971 2.033 0.000
-5.257 0.000 8.224
Te Pt Br
4 2 2
Cartesian
0.990 0.000 1.011 Te
-0.622 0.000 4.231 Te
9.307 0.000 3.993 Te
7.695 0.000 7.212 Te
1.633 0.000 5.634 Pt
7.053 0.000 2.590 Pt
4.651 0.000 1.629 Br
4.034 0.000 6.595 Br

---

Te2PtBr | the Alexandria database | GGA-PBE | relaxed; crystal system = orthorhombic; theoretical density = 8.1 Mg/m³; uncorrected formation energy = -0.1700 eV per atom
1.0
7.570 0.000 0.000
0.000 10.552 0.000
0.000 0.000 5.411
Te Pt Br
8 4 4
Cartesian
0.577 2.447 0.000 Te
1.108 4.209 2.392 Te
2.677 9.486 5.097 Te
3.208 7.723 2.706 Te
4.362 2.829 0.000 Te
4.893 1.067 2.392 Te
6.462 6.343 5.097 Te
6.993 8.105 2.706 Te
1.051 6.771 1.209 Pt
2.734 1.495 3.915 Pt
4.836 9.057 1.209 Pt
6.519 3.781 3.915 Pt
1.111 0.378 2.329 Br
2.674 5.655 5.035 Br
4.896 4.898 2.329 Br
6.459 10.174 5.035 Br

---

Te2PtBr | the Alexandria database | GGA-PBE | relaxed; crystal system = orthorhombic; theoretical density = 8.1 Mg/m³; uncorrected formation energy = 0.3935 eV per atom
1.0
3.530 0.000 0.000
0.000 4.412 0.000
0.000 0.000 6.960
Te Pt Br
2 1 1
Cartesian
0.000 0.000 0.000 Te
1.765 0.000 3.480 Te
0.000 2.206 3.480 Pt
1.765 2.206 0.000 Br

---

Te2PtBr | the Alexandria database | GGA-PBE | relaxed; crystal system = monoclinic; theoretical density = 7.2 Mg/m³; uncorrected formation energy = -0.2853 eV per atom
1.0
7.259 0.000 0.000
0.000 4.011 0.000
-3.604 0.000 8.375
Te Pt Br
4 2 2
Cartesian
-0.255 1.003 4.049 Te
-1.165 3.008 7.145 Te
4.819 1.003 1.230 Te
3.910 3.008 4.325 Te
-2.297 1.003 5.793 Pt
5.952 3.008 2.582 Pt
0.996 3.008 1.228 Br
2.659 1.003 7.147 Br

---

Te2PtBr | the Alexandria database | GGA-PBE | relaxed; crystal system = triclinic; theoretical density = 7.3 Mg/m³; uncorrected formation energy = -0.3665 eV per atom
1.0
4.052 0.000 0.000
2.023 6.939 0.000
0.025 0.171 8.630
Te Pt Br
4 2 2
Cartesian
1.026 3.060 2.983 Te
3.049 6.399 2.960 Te
3.051 0.710 5.671 Te
5.074 4.050 5.647 Te
3.049 5.856 5.550 Pt
3.051 1.254 3.080 Pt
3.058 5.468 8.094 Br
3.042 1.641 0.537 Br

---

Te2PtBr | the Alexandria database | GGA-PBE | relaxed; crystal system = tetragonal; theoretical density = 8.4 Mg/m³; uncorrected formation energy = -0.1622 eV per atom
1.0
-2.898 2.898 6.213
2.898 -2.898 6.213
2.898 2.898 -6.213
Te Pt Br
4 2 2
Cartesian
2.898 1.449 -2.028 Te
0.000 1.449 1.078 Te
2.898 1.449 5.134 Te
0.000 1.449 8.240 Te
2.898 -1.449 4.659 Pt
0.000 4.348 1.553 Pt
2.898 1.449 1.553 Br
0.000 1.449 4.659 Br

---

Te2PtBr | the Alexandria database | GGA-PBE | relaxed; crystal system = orthorhombic; theoretical density = 8.6 Mg/m³; uncorrected formation energy = 0.0438 eV per atom
1.0
2.183 -2.864 0.000
2.183 2.864 0.000
0.000 0.000 8.186
Te Pt Br
2 1 1
Cartesian
0.000 0.000 1.599 Te
0.000 0.000 6.587 Te
2.183 0.000 0.000 Pt
2.183 0.000 4.093 Br

---

Te2PtBr | the Alexandria database | GGA-PBE | relaxed; crystal system = monoclinic; theoretical density = 7.1 Mg/m³; uncorrected formation energy = -0.2144 eV per atom
1.0
7.045 -2.071 0.000
7.045 2.071 0.000
-1.205 0.000 4.273
Te Pt Br
2 1 1
Cartesian
0.000 0.000 0.000 Te
1.498 0.000 2.505 Te
7.203 0.000 3.350 Pt
4.160 0.000 1.059 Br

---

TePtBr | the Alexandria database | GGA-PBE | relaxed; crystal system = orthorhombic; theoretical density = 6.0 Mg/m³; uncorrected formation energy = -0.2823 eV per atom
1.0
1.885 -9.689 0.000
1.885 9.689 0.000
0.000 0.000 6.152
Te Pt Br
2 2 2
Cartesian
1.885 9.427 4.614 Te
1.885 -9.427 1.538 Te
1.885 1.973 1.538 Pt
1.885 -1.973 4.614 Pt
1.885 6.006 4.614 Br
1.885 -6.006 1.538 Br

---

TePtBr6 | the Alexandria database | GGA-PBE | relaxed; crystal system = monoclinic; theoretical density = 4.3 Mg/m³; uncorrected formation energy = -0.1574 eV per atom
1.0
3.654 -6.276 0.000
3.654 6.276 0.000
-0.541 0.000 6.758
Te Pt Br
1 1 6
Cartesian
0.000 0.000 0.000 Te
-0.271 0.000 3.379 Pt
2.458 4.434 1.652 Br
4.308 4.434 5.106 Br
1.992 0.000 1.889 Br
4.775 0.000 4.869 Br
2.458 -4.434 1.652 Br
4.308 -4.434 5.106 Br

---

TePtBr3 | the Alexandria database | GGA-PBE | relaxed; crystal system = cubic; theoretical density = 6.8 Mg/m³; uncorrected formation energy = 0.2659 eV per atom
1.0
5.158 0.000 0.000
0.000 5.158 0.000
0.000 0.000 5.158
Te Pt Br
1 1 3
Cartesian
0.000 0.000 0.000 Te
2.579 2.579 2.579 Pt
0.000 2.579 2.579 Br
2.579 0.000 2.579 Br
2.579 2.579 0.000 Br

---

TePtBr2 | the Alexandria database | GGA-PBE | relaxed; crystal system = orthorhombic; theoretical density = 6.5 Mg/m³; uncorrected formation energy = 0.1642 eV per atom
1.0
1.725 -3.235 0.000
1.725 3.235 0.000
0.000 0.000 11.094
Te Pt Br
1 1 2
Cartesian
0.000 0.000 0.000 Te
0.000 0.000 5.547 Pt
1.725 0.000 3.793 Br
1.725 0.000 7.300 Br

---

TePtBr | the Alexandria database | GGA-PBE | relaxed; crystal system = trigonal; theoretical density = 8.6 Mg/m³; uncorrected formation energy = -0.2131 eV per atom
1.0
3.943 0.000 0.000
-1.972 3.415 0.000
0.000 0.000 5.788
Te Pt Br
1 1 1
Cartesian
0.000 0.000 0.000 Te
0.000 2.277 4.431 Pt
1.972 1.138 2.813 Br

---

Te2PtBr | the Alexandria database | GGA-PBE | relaxed; crystal system = orthorhombic; theoretical density = 8.2 Mg/m³; uncorrected formation energy = -0.0177 eV per atom
1.0
6.778 0.000 0.000
0.000 8.915 0.000
0.000 0.000 7.116
Te Pt Br
8 4 4
Cartesian
0.701 0.972 0.000 Te
0.707 5.426 1.269 Te
2.682 0.969 4.827 Te
2.688 5.429 3.558 Te
4.090 3.486 0.000 Te
4.096 7.946 1.269 Te
6.071 3.489 4.827 Te
6.077 7.943 3.558 Te
1.690 3.278 5.975 Pt
1.699 7.736 2.416 Pt
5.079 1.179 5.975 Pt
5.088 5.636 2.416 Pt
6.775 2.226 2.415 Br
0.003 6.688 5.973 Br
3.386 2.231 2.415 Br
3.392 6.683 5.973 Br

---

Te2PtBr | the Alexandria database | GGA-PBE | relaxed; crystal system = monoclinic; theoretical density = 8.5 Mg/m³; uncorrected formation energy = 0.2041 eV per atom
1.0
3.272 -3.986 0.000
3.272 3.986 0.000
-3.215 0.000 3.984
Te Pt Br
2 1 1
Cartesian
1.636 1.993 0.000 Te
1.636 -1.993 0.000 Te
-1.607 0.000 1.992 Pt
1.664 0.000 1.992 Br

---

Te2PtBr | the Alexandria database | GGA-PBE | relaxed; crystal system = tetragonal; theoretical density = 9.2 Mg/m³; uncorrected formation energy = 0.6765 eV per atom
1.0
4.420 0.000 0.000
0.000 4.420 0.000
0.000 0.000 4.896
Te Pt Br
2 1 1
Cartesian
0.000 2.210 0.000 Te
2.210 0.000 0.000 Te
0.000 0.000 2.448 Pt
2.210 2.210 2.448 Br

---

Te2PtBr | the Alexandria database | GGA-PBE | relaxed; crystal system = tetragonal; theoretical density = 8.8 Mg/m³; uncorrected formation energy = 0.1813 eV per atom
1.0
4.189 0.000 0.000
0.000 4.189 0.000
0.000 0.000 5.694
Te Pt Br
2 1 1
Cartesian
0.000 0.000 0.000 Te
2.095 2.095 2.847 Te
0.000 0.000 2.847 Pt
2.095 2.095 0.000 Br

---

TePtBr2 | the Alexandria database | GGA-PBE | relaxed; crystal system = orthorhombic; theoretical density = 6.1 Mg/m³; uncorrected formation energy = 0.2085 eV per atom
1.0
-1.687 3.560 5.456
1.687 -3.560 5.456
1.687 3.560 -5.456
Te Pt Br
1 1 2
Cartesian
0.000 0.000 0.000 Te
0.000 0.000 5.456 Pt
1.687 0.000 3.665 Br
0.000 3.560 1.791 Br